{
  "formula": "PuSnRhAu",
  "functional": "GGA-PBE",
  "state": "optimized geometry",
  "total_energy_ev_per_atom": -7.5900,
  "formation_energy_ev_per_atom": -0.349,
  "density_g_cm3": 13.3,
  "magnetic_moment_mub_per_atom": 1.254,
  "lattice_angstrom": [[6.908, 0.000, 0.000], [0.000, 6.908, 0.000], [0.000, 0.000, 6.908]],
  "species": ["Pu", "Pu", "Pu", "Pu", "Sn", "Sn", "Sn", "Sn", "Rh", "Rh", "Rh", "Rh", "Au", "Au", "Au", "Au"],
  "frac_coords": [[0.000, 0.000, 0.000], [0.000, 0.500, 0.500], [0.500, 0.000, 0.500], [0.500, 0.500, 0.000], [0.000, 0.000, 0.500], [0.000, 0.500, 0.000], [0.500, 0.000, 0.000], [0.500, 0.500, 0.500], [0.250, 0.250, 0.750], [0.250, 0.750, 0.250], [0.750, 0.250, 0.250], [0.750, 0.750, 0.750], [0.250, 0.250, 0.250], [0.250, 0.750, 0.750], [0.750, 0.250, 0.750], [0.750, 0.750, 0.250]]
}